Entry 1:
Material: CsSnBi2
Method: DFT, PBE
State: optimized geometry

Formation energy from the elements (eV per atom): -0.005
Symmetry: R3m
Total magnetization (μB per cell): 0.00
ρ (g/cm³): 6.9
DOS at the Fermi energy (states/eV/cell): 3.75

extended XYZ file:
```
4
Lattice="4.3047 0.0000 0.0000 2.1523 3.7280 0.0000 2.1523 1.2427 10.0147" Properties=species:S:1:pos:R:3 pbc="T T T"
Bi 2.1523 1.2427 8.1526
Bi 2.1523 1.2427 1.8831
Cs 4.3047 2.4853 4.9832
Sn 4.3047 2.4853 0.0031
```

=====

Entry 2:
Material: Cs2SnBi
Method: DFT, PBE
State: optimized geometry

Energy above the lowest structure with this stoichiometry (meV/atom): 0.0
Formation energy from the elements (eV per atom): -0.200
Symmetry: Cmcm
Total magnetization (μB per cell): 0.00
ρ (g/cm³): 5.3
DOS at the Fermi energy (states/eV/cell): 8.83

extended XYZ file:
```
8
Lattice="-2.6642 5.0509 2.9994 -6.4803 -4.0197 1.0129 4.1401 -1.5542 6.2947" Properties=species:S:1:pos:R:3 pbc="T T T"
Bi -2.4682 2.6686 3.7173
Bi -2.5362 -3.1917 6.5897
Sn -2.5022 -0.2615 5.1535
Sn -1.1701 -2.7870 3.6538
Cs 1.2042 -1.5877 7.2112
Cs -5.5923 -3.1655 3.8312
Cs -6.2086 1.0647 3.0958
Cs 0.5878 2.6425 6.4758
```

=====

Entry 3:
Material: CsSnBi3
Method: DFT, PBE
State: optimized geometry

Energy above the lowest structure with this stoichiometry (meV/atom): 332.7
Formation energy from the elements (eV per atom): 0.236
Symmetry: Pm-3m
Total magnetization (μB per cell): 0.00
ρ (g/cm³): 6.7
DOS at the Fermi energy (states/eV/cell): 4.87

extended XYZ file:
```
5
Lattice="6.0062 0.0000 0.0000 0.0000 6.0062 0.0000 0.0000 0.0000 6.0062" Properties=species:S:1:pos:R:3 pbc="T T T"
Bi 0.0000 0.0000 3.0031
Bi 3.0031 0.0000 0.0000
Bi 0.0000 3.0031 0.0000
Sn 0.0000 0.0000 0.0000
Cs 3.0031 3.0031 3.0031
```

=====

Entry 4:
Material: CsSnBi3
Method: DFT, PBE
State: optimized geometry

Energy above the lowest structure with this stoichiometry (meV/atom): 1431.2
Formation energy from the elements (eV per atom): 1.335
Symmetry: Pm-3m
Total magnetization (μB per cell): 0.00
ρ (g/cm³): 6.1
DOS at the Fermi energy (states/eV/cell): 4.01

extended XYZ file:
```
5
Lattice="-5.2186 3.1715 1.1880 -3.3812 -5.0031 -1.4967 0.1923 -1.9012 5.9205" Properties=species:S:1:pos:R:3 pbc="T T T"
Bi -2.6093 1.5857 0.5940
Bi -1.6906 -2.5016 -0.7484
Bi 0.0962 -0.9506 2.9603
Cs 0.0000 0.0000 0.0000
Sn -4.2038 -1.8664 2.8059
```

=====

Entry 5:
Material: CsSn3Bi2
Method: DFT, PBE
State: optimized geometry

Formation energy from the elements (eV per atom): -0.102
Symmetry: C2/m
Total magnetization (μB per cell): 0.00
ρ (g/cm³): 6.4
DOS at the Fermi energy (states/eV/cell): 5.67

extended XYZ file:
```
12
Lattice="-5.2257 0.6579 -1.5295 -0.3054 -5.9401 8.3218 0.8825 9.8878 1.2378" Properties=species:S:1:pos:R:3 pbc="T T T"
Bi -4.1256 0.1916 4.3447
Bi -0.5230 4.4139 3.6853
Bi -2.6700 1.8828 0.0989
Bi -1.9785 2.7227 7.9311
Sn 0.1478 3.3779 0.9480
Sn -1.3140 1.6302 5.1908
Sn -2.4578 5.9997 1.1449
Sn -3.3345 2.9754 2.8392
Sn -2.1907 -1.3941 6.8852
Sn -4.7963 1.2276 7.0821
Cs -3.8426 5.7417 5.7653
Cs -0.8059 -1.1361 2.2648
```

=====

Entry 6:
Material: CsSn2Bi
Method: DFT, PBE
State: optimized geometry

Formation energy from the elements (eV per atom): -0.127
Symmetry: Cmcm
Total magnetization (μB per cell): 0.00
ρ (g/cm³): 5.8
DOS at the Fermi energy (states/eV/cell): 3.96

extended XYZ file:
```
8
Lattice="-3.5757 -1.1940 -3.5921 -2.2157 -2.8997 6.9436 -4.2088 7.3768 1.7376" Properties=species:S:1:pos:R:3 pbc="T T T"
Bi -2.2070 0.8355 1.9192
Bi -7.7932 2.4475 3.1698
Cs -5.7492 -1.2937 2.3787
Cs -4.2510 4.5767 2.7103
Sn -4.3153 1.9184 -0.1163
Sn -7.1774 3.9805 5.8215
Sn -5.6849 1.3646 5.2053
Sn -2.8228 -0.6975 -0.7325
```

=====

Entry 7:
Material: Cs2Sn5Bi3
Method: DFT, PBE
State: optimized geometry

Formation energy from the elements (eV per atom): -0.164
Symmetry: Ibam
Total magnetization (μB per cell): 0.00
ρ (g/cm³): 6.3
DOS at the Fermi energy (states/eV/cell): 10.36

extended XYZ file:
```
20
Lattice="-4.7825 -5.2755 -2.8221 -5.5851 -4.7701 7.9877 -10.0288 4.0355 -0.9428" Properties=species:S:1:pos:R:3 pbc="T T T"
Sn -11.3938 -4.3240 1.4059
Sn -3.8411 -0.2098 1.7044
Sn -16.5554 -5.8003 2.5185
Sn -6.7108 -3.6285 -2.6331
Sn -6.2323 -2.8476 0.2933
Sn -17.1504 -2.8921 3.2875
Sn -9.0026 -1.6862 2.8169
Sn -3.2461 -3.1180 0.9354
Sn -14.1641 -3.1626 3.9295
Sn -13.6856 -2.3816 6.8560
Bi -12.0932 -1.3857 2.2956
Bi -13.4285 -6.1160 3.0067
Bi -1.1956 -1.3189 -0.7055
Bi -8.3033 -4.6244 1.9273
Bi -3.5869 -3.9567 -2.1166
Bi -6.9680 0.1059 1.2161
Cs -10.4350 -4.6394 5.5679
Cs -15.0454 -2.8796 -0.3030
Cs -5.3510 -3.1305 4.5259
Cs -9.9614 -1.3708 -1.3450
```

=====

Entry 8:
Material: Cs2Sn3Bi2
Method: DFT, PBE
State: optimized geometry

Formation energy from the elements (eV per atom): -0.176
Symmetry: C2/m
Total magnetization (μB per cell): 0.00
ρ (g/cm³): 6.2
DOS at the Fermi energy (states/eV/cell): 3.31

extended XYZ file:
```
7
Lattice="5.2927 0.0000 0.0000 -2.6463 6.9714 -0.1843 0.0000 -3.8833 7.5997" Properties=species:S:1:pos:R:3 pbc="T T T"
Sn 2.6463 -0.2874 3.0711
Sn 0.0000 3.3755 4.3443
Sn 2.6463 0.0000 0.0000
Bi 2.6463 1.9889 5.3704
Bi 0.0000 1.0992 2.0451
Cs 2.6463 4.0401 1.4868
Cs 0.0000 -0.9520 5.9287
```

=====

Entry 9:
Material: Cs3Sn2Bi4
Method: DFT, PBE
State: optimized geometry

Energy above the lowest structure with this stoichiometry (meV/atom): 87.8
Formation energy from the elements (eV per atom): -0.194
Symmetry: C2/c
Total magnetization (μB per cell): 0.00
ρ (g/cm³): 5.5
DOS at the Fermi energy (states/eV/cell): 12.90

extended XYZ file:
```
18
Lattice="7.9181 -0.2290 -0.1640 0.1043 10.8568 -0.1069 0.1043 3.3970 10.3122" Properties=species:S:1:pos:R:3 pbc="T T T"
Cs 2.0838 7.7991 4.0429
Cs 3.8586 8.1606 -0.1170
Cs 0.3090 11.6207 2.3603
Cs 4.2680 5.8642 10.1584
Cs 6.0429 6.2257 5.9985
Cs 7.8177 2.4041 7.6811
Sn 4.2415 10.9178 6.1339
Sn 7.8442 4.5856 1.6002
Sn 0.2825 9.4391 8.4411
Sn 3.8851 3.1069 3.9074
Bi 5.0683 5.3303 2.3060
Bi 1.1093 4.0150 4.3849
Bi 3.0583 8.6945 7.7353
Bi 3.8156 2.9659 6.8837
Bi 7.7747 7.3577 0.5077
Bi 0.3520 6.6670 9.5336
Bi 7.0174 10.0097 5.6564
Bi 4.3111 11.0589 3.1576
```

=====

Entry 10:
Material: CsSnBi3
Method: DFT, PBE
State: optimized geometry

Energy above the lowest structure with this stoichiometry (meV/atom): 0.0
Formation energy from the elements (eV per atom): -0.096
Symmetry: P1
Total magnetization (μB per cell): 0.00
ρ (g/cm³): 6.4
DOS at the Fermi energy (states/eV/cell): 3.40

extended XYZ file:
```
10
Lattice="7.4065 -0.0065 -0.0001 -0.0091 8.5834 -0.0093 0.0005 -0.0050 7.1869" Properties=species:S:1:pos:R:3 pbc="T T T"
Bi 7.3276 4.4419 3.3753
Bi 3.6281 7.1548 6.9704
Bi 7.3274 4.4386 6.6821
Bi 5.6961 8.3972 5.0320
Bi 1.9886 3.2092 1.4344
Bi 3.6277 7.1571 3.0926
Cs 3.6587 3.1914 5.0281
Cs 7.3670 8.3946 1.4380
Sn 4.6800 4.8074 1.4357
Sn 0.9775 6.7970 5.0312
```

=====

Entry 11:
Material: CsSn2Bi
Method: DFT, PBE
State: optimized geometry

Formation energy from the elements (eV per atom): -0.008
Symmetry: I-42d
Total magnetization (μB per cell): 0.00
ρ (g/cm³): 5.2
DOS at the Fermi energy (states/eV/cell): 0.28

extended XYZ file:
```
8
Lattice="5.7844 0.0000 0.0000 0.0000 5.7844 0.0000 2.8922 2.8922 10.9539" Properties=species:S:1:pos:R:3 pbc="T T T"
Sn 4.3383 3.3295 8.2155
Sn 7.2305 2.4549 8.2155
Sn 5.3471 1.4461 2.7385
Sn 6.2217 4.3383 2.7385
Cs 2.8922 2.8922 0.0000
Cs 2.8922 5.7844 5.4770
Bi 0.0000 0.0000 0.0000
Bi 5.7844 2.8922 5.4770
```

=====

Entry 12:
Material: CsSn2Bi2
Method: DFT, PBE
State: optimized geometry

Energy above the lowest structure with this stoichiometry (meV/atom): 25.4
Formation energy from the elements (eV per atom): -0.148
Symmetry: I4/mmm
Total magnetization (μB per cell): 0.00
ρ (g/cm³): 6.7
DOS at the Fermi energy (states/eV/cell): 5.42

extended XYZ file:
```
5
Lattice="-5.0609 0.1625 2.6563 1.9596 -3.6340 3.9559 0.3184 2.8437 6.5871" Properties=species:S:1:pos:R:3 pbc="T T T"
Bi -3.1466 0.6352 6.2747
Bi 0.3637 -1.2631 6.9245
Sn -1.7258 -0.1013 9.0268
Sn -1.0572 -0.5266 4.1724
Cs 0.0000 0.0000 0.0000
```

=====

Entry 13:
Material: Cs3SnBi
Method: DFT, PBE
State: optimized geometry

Energy above the lowest structure with this stoichiometry (meV/atom): 0.0
Formation energy from the elements (eV per atom): -0.173
Symmetry: C2/m
Total magnetization (μB per cell): 0.10
ρ (g/cm³): 4.0
DOS at the Fermi energy (states/eV/cell): 4.56

extended XYZ file:
```
10
Lattice="-8.8493 -2.4879 -0.5626 2.5333 -3.5415 -8.1153 5.1494 -3.2572 7.2472" Properties=species:S:1:pos:R:3 pbc="T T T"
Cs -4.4087 -3.7846 -2.8938
Cs 3.2421 -5.5021 1.4631
Cs -1.5359 -6.4575 0.0650
Cs -6.1709 -3.1127 1.1144
Cs 0.3693 -2.8291 -1.4956
Cs 5.0043 -6.1740 -2.5451
Bi 0.9641 -4.7558 -6.1294
Bi -2.1307 -4.5308 4.6988
Sn -1.0889 -5.5657 -4.0725
Sn -0.0777 -3.7209 2.6419
```

=====

Entry 14:
Material: Cs3SnBi4
Method: DFT, PBE
State: optimized geometry

Formation energy from the elements (eV per atom): -0.188
Symmetry: Pmmn
Total magnetization (μB per cell): 0.00
ρ (g/cm³): 5.7
DOS at the Fermi energy (states/eV/cell): 9.26

extended XYZ file:
```
16
Lattice="-5.2800 -5.2520 1.9625 4.2874 -2.3662 5.2023 -5.9037 9.3407 9.1140" Properties=species:S:1:pos:R:3 pbc="T T T"
Cs -5.3437 6.1420 7.1975
Cs -2.3550 1.4133 2.5836
Cs -3.7331 -3.1780 6.5371
Cs -2.5303 -2.5169 0.9405
Cs -6.6481 1.4340 11.0371
Cs -3.5578 0.7521 8.1802
Bi -1.8697 3.8474 6.1014
Bi -4.2184 -5.6121 3.0192
Bi -4.9015 5.3832 11.3940
Bi -0.0385 2.8367 8.3234
Bi -1.7622 -6.9677 5.9996
Bi -0.2698 -1.9450 4.2437
Bi -7.0902 2.1928 6.8407
Bi -5.8182 0.1802 4.8770
Sn -4.6699 2.9614 5.1956
Sn -1.4182 -4.7262 3.9251
```

=====

Entry 15:
Material: Cs5Sn4Bi2
Method: DFT, PBE
State: optimized geometry

Formation energy from the elements (eV per atom): -0.082
Symmetry: C2/m
Total magnetization (μB per cell): 1.10
ρ (g/cm³): 5.3
DOS at the Fermi energy (states/eV/cell): 5.58

extended XYZ file:
```
11
Lattice="-6.4955 0.3509 4.5382 -5.3988 -5.1810 -0.3955 0.2279 -7.6398 7.8480" Properties=species:S:1:pos:R:3 pbc="T T T"
Cs -2.5235 -8.2163 7.4060
Cs -5.7846 -8.0401 9.6844
Cs -5.8819 -4.4298 2.3064
Cs -9.1429 -4.2536 4.5848
Cs -2.5855 -6.4104 3.7263
Bi -5.7713 -10.0852 6.3818
Bi -5.8952 -2.3847 5.6090
Sn -6.3610 -7.4017 5.3302
Sn -5.3055 -5.0682 6.6605
Sn -9.0492 -10.0336 8.6173
Sn -2.6173 -2.4363 3.3734
```

=====

Entry 16:
Material: Cs3Sn2Bi4
Method: DFT, PBE
State: optimized geometry

Energy above the lowest structure with this stoichiometry (meV/atom): 0.0
Formation energy from the elements (eV per atom): -0.282
Symmetry: C2/m
Total magnetization (μB per cell): 0.00
ρ (g/cm³): 6.2
DOS at the Fermi energy (states/eV/cell): 3.50

extended XYZ file:
```
9
Lattice="2.7438 6.9085 0.0369 -2.7438 6.9085 0.0369 0.0000 1.6417 10.3843" Properties=species:S:1:pos:R:3 pbc="T T T"
Sn 0.0000 10.7686 6.6898
Sn 0.0000 4.6900 3.7683
Bi 0.0000 3.9357 0.7741
Bi 0.0000 13.0310 4.5378
Bi 0.0000 2.4276 5.9203
Bi 0.0000 11.5229 9.6840
Cs 0.0000 6.7479 7.4393
Cs 0.0000 8.7107 3.0188
Cs 0.0000 0.0000 0.0000
```

=====

Entry 17:
Material: CsSnBiTe3
Method: DFT, PBE
State: optimized geometry

Energy relative to the elements, uncorrected (eV per atom): -0.518
Symmetry: P2_1/m
Total magnetization (μB per cell): 0.00
ρ (g/cm³): 5.4

extended XYZ file:
```
12
Lattice="-2.7202 0.5285 3.5558 -7.4392 -4.1963 -5.0674 6.5840 -8.5130 6.3021" Properties=species:S:1:pos:R:3 pbc="T T T"
Te 0.7482 -10.0423 3.4937
Te -0.7354 -5.9534 4.6088
Te -4.3236 -2.1385 1.2967
Te -7.1680 -5.1014 -0.4389
Te 3.5925 -7.0794 5.2294
Te -2.8401 -6.2275 0.1817
Bi -4.3844 -3.8271 -1.3565
Bi 0.8090 -8.3537 6.1470
Cs -0.5703 -3.2145 1.4703
Cs -3.0052 -8.9664 3.3202
Sn -5.6234 -7.0500 1.0324
Sn 2.0479 -5.1308 3.7581
```

=====

Entry 18:
Material: Cs3SnBi2Te6
Method: DFT, PBE
State: optimized geometry

Energy relative to the elements, uncorrected (eV per atom): -0.583
Symmetry: C2/m
Total magnetization (μB per cell): 0.00
ρ (g/cm³): 5.7
DOS at the Fermi energy (states/eV/cell): 5.82

extended XYZ file:
```
12
Lattice="-1.9727 7.7419 0.4401 -5.7240 -5.5909 -0.0098 2.9489 -1.1276 8.8284" Properties=species:S:1:pos:R:3 pbc="T T T"
Te -0.5733 2.4626 1.8611
Te 0.3495 -0.3429 7.2453
Te -5.0973 1.3662 2.0135
Te -2.9431 2.9375 7.5454
Te -4.1745 -1.4393 7.3976
Te -1.8047 -1.9142 1.7134
Cs -2.3739 0.5117 4.6294
Cs -1.1302 4.9320 4.7786
Cs -3.6176 -3.9087 4.4802
Sn 0.0000 0.0000 0.0000
Bi -3.2238 3.2952 0.2901
Bi -4.4729 -1.1443 0.1402
```

=====

Entry 19:
Material: Cs4Tl2SnBi2
Method: DFT, PBE
State: optimized geometry

Formation energy from the elements (eV per atom): -0.106
Symmetry: C2/m
Total magnetization (μB per cell): 0.00
ρ (g/cm³): 5.0
DOS at the Fermi energy (states/eV/cell): 8.17

extended XYZ file:
```
9
Lattice="9.4083 0.6926 0.4712 2.6778 7.1586 -2.0038 2.6778 0.7646 7.3943" Properties=species:S:1:pos:R:3 pbc="T T T"
Cs 8.1967 3.7532 -0.4173
Cs 6.5673 7.6259 2.2175
Cs 6.5673 4.8627 6.2790
Cs 8.1967 0.9899 3.6442
Bi 12.8978 7.7168 5.2501
Bi 1.8661 0.8990 0.6116
Tl 10.7053 4.0909 2.7832
Tl 4.0587 4.5249 3.0785
Sn 4.7042 0.3463 0.2356
```

=====

Entry 20:
Material: CsTlSnBi2
Method: DFT, PBE
State: optimized geometry

Formation energy from the elements (eV per atom): -0.194
Symmetry: I-4m2
Total magnetization (μB per cell): 0.00
ρ (g/cm³): 7.2
DOS at the Fermi energy (states/eV/cell): 1.94

extended XYZ file:
```
5
Lattice="5.5018 0.0000 0.0000 0.0000 5.5018 0.0000 -2.7509 -2.7509 6.6253" Properties=species:S:1:pos:R:3 pbc="T T T"
Bi 0.0000 0.0000 5.0059
Bi 2.7509 2.7509 1.6193
Sn 0.0000 2.7509 3.3126
Tl 2.7509 0.0000 3.3126
Cs 0.0000 0.0000 0.0000
```

=====

| no. | DFT total energy (eV per formula unit) |
| --- | --- |
| 1 | -12.6 |
| 2 | -10.4 |
| 3 | -15.3 |
| 4 | -9.8 |
| 5 | -21.2 |
| 6 | -13.2 |
| 7 | -35.0 |
| 8 | -22.7 |
| 9 | -27.8 |
| 10 | -17.0 |
| 11 | -12.8 |
| 12 | -17.4 |
| 13 | -11.3 |
| 14 | -23.6 |
| 15 | -28.9 |
| 16 | -28.6 |
| 17 | -21.3 |
| 18 | -40.2 |
| 19 | -20.9 |
| 20 | -16.0 |